A plane-wave DFT calculation with PBE was carried out for a geometry-optimized Hg3Mo structure. Values from VASP.

## Properties
The calculation puts the total energy at -2.293 eV/atom. As for the space group: P6_3/mmc, No. 194. As for the polymorph energy (0 for the lowest one): 0.333 eV/atom. For the formation energy, the calculation gives 14.8 kcal/mol of atoms.

```
&SYSTEM
  ibrav = 0, nat = 8, ntyp = 2
/
ATOMIC_SPECIES
Hg 200.59 Hg.upf
Mo 95.94 Mo.upf
CELL_PARAMETERS angstrom
6.214 0.000 0.000
-3.107 5.382 0.000
0.000 0.000 4.877
ATOMIC_POSITIONS crystal
Hg 0.171 0.342 0.250
Hg 0.171 0.829 0.250
Hg 0.342 0.171 0.750
Hg 0.658 0.829 0.250
Hg 0.829 0.171 0.750
Hg 0.829 0.658 0.750
Mo 0.333 0.667 0.750
Mo 0.667 0.333 0.250
```

=====

A plane-wave DFT calculation with PBE was carried out for a geometry-optimized Hg2Mo structure. Values from VASP.

## Properties
The calculation puts the total energy at -2.832 eV/atom. As for the space group: Fm-3m, No. 225. As for the polymorph energy (0 for the lowest one): 0.706 eV/atom. For the formation energy, the calculation gives 22.6 kcal/mol of atoms.

```
&SYSTEM
  ibrav = 0, nat = 3, ntyp = 2
/
ATOMIC_SPECIES
Hg 200.59 Hg.upf
Mo 95.94 Mo.upf
CELL_PARAMETERS angstrom
0.000 3.292 3.292
3.292 0.000 3.292
3.292 3.292 0.000
ATOMIC_POSITIONS crystal
Hg 0.250 0.250 0.250
Hg 0.750 0.750 0.750
Mo 0.000 0.000 0.000
```

=====

A plane-wave DFT calculation with PBE was carried out for a geometry-optimized HgMo structure. Values from VASP.

## Properties
The calculation puts the total energy at -4.465 eV/atom. As for the space group: P4_2/mnm, No. 136. As for the polymorph energy (0 for the lowest one): 0.683 eV/atom. For the formation energy, the calculation gives 25.4 kcal/mol of atoms.

```
&SYSTEM
  ibrav = 0, nat = 8, ntyp = 2
/
ATOMIC_SPECIES
Hg 200.59 Hg.upf
Mo 95.94 Mo.upf
CELL_PARAMETERS angstrom
5.530 0.000 0.000
0.000 5.530 0.000
0.000 0.000 5.642
ATOMIC_POSITIONS crystal
Hg 0.176 0.176 0.000
Hg 0.324 0.676 0.500
Hg 0.676 0.324 0.500
Hg 0.824 0.824 0.000
Mo 0.147 0.147 0.500
Mo 0.353 0.647 0.000
Mo 0.647 0.353 0.000
Mo 0.853 0.853 0.500
```

=====

Copy entry 1 word for word.
A plane-wave DFT calculation with PBE was carried out for a geometry-optimized Hg3Mo structure. Values from VASP.

## Properties
The calculation puts the total energy at -2.293 eV/atom. As for the space group: P6_3/mmc, No. 194. As for the polymorph energy (0 for the lowest one): 0.333 eV/atom. For the formation energy, the calculation gives 14.8 kcal/mol of atoms.

```
&SYSTEM
  ibrav = 0, nat = 8, ntyp = 2
/
ATOMIC_SPECIES
Hg 200.59 Hg.upf
Mo 95.94 Mo.upf
CELL_PARAMETERS angstrom
6.214 0.000 0.000
-3.107 5.382 0.000
0.000 0.000 4.877
ATOMIC_POSITIONS crystal
Hg 0.171 0.342 0.250
Hg 0.171 0.829 0.250
Hg 0.342 0.171 0.750
Hg 0.658 0.829 0.250
Hg 0.829 0.171 0.750
Hg 0.829 0.658 0.750
Mo 0.333 0.667 0.750
Mo 0.667 0.333 0.250
```